# 1
Material: La2Cu3Au2
Method: DFT, PBE-GGA
State: optimized geometry

Output
Its density of states at the Fermi level is 0.59 states/eV per atom. For the total energy, the calculation gives -31.7 eV/f.u.

a b c (Å): 10.4647 4.4463 6.7530
angles (deg): 90.00 106.18 90.00
Fractional coordinates of all 14 atoms:
La: 0.1603 0.0000 0.2295
La: 0.3397 0.5000 0.7705
La: 0.6603 0.5000 0.2295
La: 0.8397 0.0000 0.7705
Cu: 0.0000 0.5000 0.5000
Cu: 0.0693 0.5000 0.8837
Cu: 0.4307 0.0000 0.1163
Cu: 0.5000 0.0000 0.5000
Cu: 0.5693 0.0000 0.8837
Cu: 0.9307 0.5000 0.1163
Au: 0.1256 0.0000 0.6998
Au: 0.3744 0.5000 0.3002
Au: 0.6256 0.5000 0.6998
Au: 0.8744 0.0000 0.3002


# 2
Material: LaCu2Au
Method: DFT, PBE-GGA
State: optimized geometry

Output
Its density of states at the Fermi level is 0.45 states/eV per atom. For the total energy, the calculation gives -17.0 eV/f.u.

a b c (Å): 3.4592 3.4592 6.4866
angles (deg): 90.00 90.00 90.00
Fractional coordinates of all 4 atoms:
La: 0.0000 0.0000 0.0000
Cu: 0.5000 0.5000 0.3056
Cu: 0.5000 0.5000 0.6944
Au: 0.0000 0.0000 0.5000


# 3
Material: La2CuAu3
Method: DFT, PBE-GGA
State: optimized geometry

Output
Its density of states at the Fermi level is 0.78 states/eV per atom. For the total energy, the calculation gives -28.0 eV/f.u.

a b c (Å): 3.7883 4.6933 8.0738
angles (deg): 90.00 90.00 90.00
Fractional coordinates of all 6 atoms:
La: 0.0000 0.0000 0.0000
La: 0.0000 0.5000 0.4971
Cu: 0.5000 0.0000 0.3225
Au: 0.5000 0.0000 0.6447
Au: 0.5000 0.5000 0.1825
Au: 0.5000 0.5000 0.8360


# 4
Material: La2Cu2Au
Method: DFT, PBE-GGA
State: optimized geometry

Output
Its density of states at the Fermi level is 0.78 states/eV per atom. For the total energy, the calculation gives -23.3 eV/f.u.

a b c (Å): 5.8211 5.8211 11.3094
angles (deg): 114.64 114.64 44.70
Fractional coordinates of all 10 atoms:
La: 0.0412 0.0412 0.3556
La: 0.1953 0.1953 0.1106
La: 0.8047 0.8047 0.8894
La: 0.9588 0.9588 0.6444
Cu: 0.3736 0.3736 0.4291
Cu: 0.4828 0.4828 0.1054
Cu: 0.5172 0.5172 0.8946
Cu: 0.6264 0.6264 0.5709
Au: 0.2684 0.2684 0.6745
Au: 0.7316 0.7316 0.3255


# 5
Material: La2CuAu2
Method: DFT, PBE-GGA
State: optimized geometry

Output
Its density of states at the Fermi level is 0.59 states/eV per atom. For the total energy, the calculation gives -22.4 eV/f.u.

a b c (Å): 8.2286 8.2286 4.0433
angles (deg): 90.00 90.00 90.00
Fractional coordinates of all 10 atoms:
La: 0.1701 0.3299 0.0000
La: 0.3299 0.8299 0.0000
La: 0.6701 0.1701 0.0000
La: 0.8299 0.6701 0.0000
Cu: 0.0000 0.0000 0.0000
Cu: 0.5000 0.5000 0.0000
Au: 0.1284 0.6284 0.5000
Au: 0.3716 0.1284 0.5000
Au: 0.6284 0.8716 0.5000
Au: 0.8716 0.3716 0.5000


# 6
Material: LaCuAu2
Method: DFT, PBE-GGA
State: optimized geometry

Output
Its density of states at the Fermi level is 0.46 states/eV per atom. For the total energy, the calculation gives -17.6 eV/f.u.

a b c (Å): 7.9656 4.6100 5.5016
angles (deg): 90.00 118.85 90.00
Fractional coordinates of all 8 atoms:
La: 0.0000 0.0000 0.0000
La: 0.5000 0.5000 0.0000
Cu: 0.2099 0.0000 0.6315
Cu: 0.7099 0.5000 0.6315
Au: 0.0388 0.5000 0.6176
Au: 0.2851 0.5000 0.3556
Au: 0.5388 0.0000 0.6176
Au: 0.7851 0.0000 0.3556


# 7
Material: LaCu2Au
Method: DFT, PBE-GGA
State: optimized geometry

Output
Its density of states at the Fermi level is 0.52 states/eV per atom. For the total energy, the calculation gives -16.6 eV/f.u.

a b c (Å): 6.0253 6.5369 4.2256
angles (deg): 90.00 100.95 90.00
Fractional coordinates of all 8 atoms:
La: 0.0000 0.0000 0.0000
La: 0.5000 0.5000 0.0000
Cu: 0.2500 0.2500 0.5000
Cu: 0.2500 0.7500 0.5000
Cu: 0.7500 0.2500 0.5000
Cu: 0.7500 0.7500 0.5000
Au: 0.0000 0.5000 0.0000
Au: 0.5000 0.0000 0.0000


# 8
Material: LaCuAu2
Method: DFT, PBE-GGA
State: optimized geometry

Output
Its density of states at the Fermi level is 0.44 states/eV per atom. For the total energy, the calculation gives -16.8 eV/f.u.

a b c (Å): 6.4949 6.4862 4.1712
angles (deg): 90.00 90.11 90.00
Fractional coordinates of all 8 atoms:
La: 0.0000 0.0000 0.0000
La: 0.5000 0.5000 0.0000
Cu: 0.0000 0.5000 0.0000
Cu: 0.5000 0.0000 0.0000
Au: 0.2500 0.2500 0.5000
Au: 0.2500 0.7500 0.5000
Au: 0.7500 0.2500 0.5000
Au: 0.7500 0.7500 0.5000


# 9
Material: LaCu4Au
Method: DFT, PBE-GGA
State: optimized geometry

Output
Its density of states at the Fermi level is 0.74 states/eV per atom. For the total energy, the calculation gives -26.2 eV/f.u.

a b c (Å): 5.1673 5.1673 5.1673
angles (deg): 60.00 60.00 60.00
Fractional coordinates of all 6 atoms:
La: 0.0000 0.0000 0.0000
Cu: 0.3768 0.3768 0.3768
Cu: 0.3768 0.3768 0.8697
Cu: 0.3768 0.8697 0.3768
Cu: 0.8697 0.3768 0.3768
Au: 0.7500 0.7500 0.7500


# 10
Material: LaCuAu2
Method: DFT, PBE-GGA
State: optimized geometry

Output
Its density of states at the Fermi level is 0.37 states/eV per atom. For the total energy, the calculation gives -17.3 eV/f.u.

a b c (Å): 7.0048 7.0048 7.0048
angles (deg): 90.00 90.00 90.00
Fractional coordinates of all 16 atoms:
La: 0.0000 0.0000 0.0000
La: 0.0000 0.5000 0.5000
La: 0.5000 0.0000 0.5000
La: 0.5000 0.5000 0.0000
Cu: 0.2500 0.2500 0.2500
Cu: 0.2500 0.7500 0.7500
Cu: 0.7500 0.2500 0.7500
Cu: 0.7500 0.7500 0.2500
Au: 0.0000 0.0000 0.5000
Au: 0.0000 0.5000 0.0000
Au: 0.2500 0.2500 0.7500
Au: 0.2500 0.7500 0.2500
Au: 0.5000 0.0000 0.0000
Au: 0.5000 0.5000 0.5000
Au: 0.7500 0.2500 0.2500
Au: 0.7500 0.7500 0.7500


# 11
Material: LaCu2Au
Method: DFT, PBE-GGA
State: optimized geometry

Output
Its density of states at the Fermi level is 0.44 states/eV per atom. For the total energy, the calculation gives -17.7 eV/f.u.

a b c (Å): 7.7636 4.4684 5.3607
angles (deg): 90.00 118.65 90.00
Fractional coordinates of all 8 atoms:
La: 0.0000 0.0000 0.0000
La: 0.5000 0.5000 0.0000
Cu: 0.2076 0.0000 0.6222
Cu: 0.2924 0.5000 0.3778
Cu: 0.7076 0.5000 0.6222
Cu: 0.7924 0.0000 0.3778
Au: 0.0000 0.5000 0.5000
Au: 0.5000 0.0000 0.5000


# 12
Material: LaCuAu2
Method: DFT, PBE-GGA
State: optimized geometry

Output
Its density of states at the Fermi level is 0.45 states/eV per atom. For the total energy, the calculation gives -17.3 eV/f.u.

a b c (Å): 3.5508 3.5508 6.6805
angles (deg): 90.00 90.00 90.00
Fractional coordinates of all 4 atoms:
La: 0.0000 0.0000 0.0000
Cu: 0.0000 0.0000 0.5000
Au: 0.5000 0.5000 0.2927
Au: 0.5000 0.5000 0.7073


Number 1: calculated formation energy -0.4341 eV per atom. Number 2: calculated formation energy -0.1548 eV per atom. Number 3: calculated formation energy -0.6974 eV per atom. Number 4: calculated formation energy -0.4033 eV per atom. Number 5: calculated formation energy -0.3824 eV per atom. Number 6: calculated formation energy -0.5136 eV per atom. Number 7: calculated formation energy -0.0436 eV per atom. Number 8: calculated formation energy -0.2984 eV per atom. Number 9: calculated formation energy -0.2715 eV per atom. Number 10: calculated formation energy -0.4388 eV per atom. Number 11: calculated formation energy -0.3319 eV per atom. Number 12: calculated formation energy -0.4230 eV per atom.